{
  "formula": "Ni2WSe",
  "functional": "PBE",
  "state": "relaxed",
  "magmom_total_mub_per_fu": 0.000,
  "density_g_cm3": 11.69,
  "e_tot_ev_per_atom": -6.57,
  "dos_ef_per_ev_atom": 1.127,
  "raw_formation_energy_ev_per_atom": 0.4277,
  "lattice": [[3.713, 0.000, 0.000], [0.000, 3.713, 0.000], [0.000, 0.000, 3.919]],
  "species": ["Ni", "Ni", "W", "Se"],
  "frac_coords": [[0.000, 0.500, 0.000], [0.500, 0.000, 0.000], [0.000, 0.000, 0.500], [0.500, 0.500, 0.500]]
}



{
  "formula": "NiWSe2",
  "functional": "PBE",
  "state": "relaxed",
  "magmom_total_mub_per_fu": 0.723,
  "density_g_cm3": 10.52,
  "e_tot_ev_per_atom": -5.82,
  "polymorph_energy_kj_per_mol_atoms": 72.9,
  "dos_ef_per_ev_atom": 0.867,
  "raw_formation_energy_ev_per_atom": 0.6035,
  "lattice": [[-1.851, 1.851, 4.615], [1.851, -1.851, 4.615], [1.851, 1.851, -4.615]],
  "species": ["Ni", "W", "Se", "Se"],
  "frac_coords": [[0.000, 0.000, 0.000], [0.750, 0.250, 0.500], [0.250, 0.750, 0.500], [0.500, 0.500, 0.000]]
}



{
  "formula": "NiWSe2",
  "functional": "PBE",
  "state": "relaxed",
  "magmom_total_mub_per_fu": 0.000,
  "density_g_cm3": 8.00,
  "e_tot_ev_per_atom": -6.19,
  "polymorph_energy_kj_per_mol_atoms": 37.0,
  "dos_ef_per_ev_atom": 0.290,
  "raw_formation_energy_ev_per_atom": 0.2311,
  "lattice": [[-2.823, 2.823, 5.217], [2.823, -2.823, 5.217], [2.823, 2.823, -5.217]],
  "species": ["Ni", "Ni", "W", "W", "Se", "Se", "Se", "Se"],
  "frac_coords": [[0.000, 0.000, 0.000], [0.750, 0.250, 0.500], [0.250, 0.750, 0.500], [0.500, 0.500, 0.000], [0.109, 0.625, 0.984], [0.375, 0.359, 0.484], [0.641, 0.125, 0.016], [0.875, 0.891, 0.516]]
}



{
  "formula": "Ni2WSe",
  "functional": "PBE",
  "state": "relaxed",
  "magmom_total_mub_per_fu": 1.005,
  "density_g_cm3": 10.95,
  "e_tot_ev_per_atom": -6.64,
  "dos_ef_per_ev_atom": 1.289,
  "raw_formation_energy_ev_per_atom": 0.3630,
  "lattice": [[1.466, 0.846, 7.746], [-1.466, 0.846, 7.746], [0.000, -1.693, 7.746]],
  "species": ["Ni", "Ni", "W", "Se"],
  "frac_coords": [[0.000, 0.000, 0.000], [0.254, 0.254, 0.254], [0.500, 0.500, 0.500], [0.751, 0.751, 0.751]]
}



{
  "formula": "Y2NiSe",
  "functional": "PBE",
  "state": "relaxed",
  "magmom_total_mub_per_fu": 0.000,
  "density_g_cm3": 5.61,
  "e_tot_ev_per_atom": -6.50,
  "dos_ef_per_ev_atom": 0.988,
  "raw_formation_energy_ev_per_atom": -0.9493,
  "lattice": [[4.010, 0.000, 0.000], [0.000, 4.010, 0.000], [0.000, 0.000, 5.808]],
  "species": ["Y", "Y", "Ni", "Se"],
  "frac_coords": [[0.000, 0.000, 0.000], [0.500, 0.500, 0.500], [0.000, 0.000, 0.500], [0.500, 0.500, 0.000]]
}



{
  "formula": "YNiSe4",
  "functional": "PBE",
  "state": "relaxed",
  "magmom_total_mub_per_fu": 0.222,
  "density_g_cm3": 6.09,
  "e_tot_ev_per_atom": -4.12,
  "dos_ef_per_ev_atom": 0.946,
  "raw_formation_energy_ev_per_atom": 0.2406,
  "lattice": [[0.000, 3.983, 3.983], [3.983, 0.000, 3.983], [3.983, 3.983, 0.000]],
  "species": ["Y", "Ni", "Se", "Se", "Se", "Se"],
  "frac_coords": [[0.000, 0.000, 0.000], [0.750, 0.750, 0.750], [0.376, 0.376, 0.376], [0.376, 0.376, 0.873], [0.376, 0.873, 0.376], [0.873, 0.376, 0.376]]
}



{
  "formula": "Y2NiSe",
  "functional": "PBE",
  "state": "relaxed",
  "magmom_total_mub_per_fu": 0.000,
  "density_g_cm3": 6.09,
  "e_tot_ev_per_atom": -6.41,
  "dos_ef_per_ev_atom": 0.800,
  "raw_formation_energy_ev_per_atom": -0.8579,
  "lattice": [[3.511, 0.000, 0.000], [0.000, 3.511, 0.000], [0.000, 0.000, 6.982]],
  "species": ["Y", "Y", "Ni", "Se"],
  "frac_coords": [[0.000, 0.000, 0.233], [0.000, 0.000, 0.767], [0.500, 0.500, 0.000], [0.500, 0.500, 0.500]]
}



{
  "formula": "YNi2Se2",
  "functional": "PBE",
  "state": "relaxed",
  "magmom_total_mub_per_fu": 0.000,
  "density_g_cm3": 6.89,
  "e_tot_ev_per_atom": -5.37,
  "polymorph_energy_kj_per_mol_atoms": 32.7,
  "dos_ef_per_ev_atom": 0.971,
  "raw_formation_energy_ev_per_atom": -0.3711,
  "lattice": [[7.258, 0.000, 0.000], [0.000, 7.258, 0.000], [0.000, 0.000, 3.330]],
  "species": ["Y", "Y", "Ni", "Ni", "Ni", "Ni", "Se", "Se", "Se", "Se"],
  "frac_coords": [[0.000, 0.000, 0.000], [0.500, 0.500, 0.000], [0.130, 0.370, 0.500], [0.370, 0.870, 0.500], [0.630, 0.130, 0.500], [0.870, 0.630, 0.500], [0.157, 0.657, 0.000], [0.343, 0.157, 0.000], [0.657, 0.843, 0.000], [0.843, 0.343, 0.000]]
}



{
  "formula": "Y2NiSe",
  "functional": "PBE",
  "state": "relaxed",
  "magmom_total_mub_per_fu": 0.000,
  "density_g_cm3": 5.93,
  "e_tot_ev_per_atom": -6.24,
  "dos_ef_per_ev_atom": 0.834,
  "raw_formation_energy_ev_per_atom": -0.6902,
  "lattice": [[-2.140, 2.773, 3.719], [2.140, -2.773, 3.719], [2.140, 2.773, -3.719]],
  "species": ["Y", "Y", "Ni", "Se"],
  "frac_coords": [[0.244, 0.244, 0.000], [0.756, 0.756, 0.000], [0.000, 0.500, 0.500], [0.500, 0.000, 0.500]]
}



{
  "formula": "Y2Ni2Se",
  "functional": "PBE",
  "state": "relaxed",
  "magmom_total_mub_per_fu": 0.000,
  "density_g_cm3": 6.44,
  "e_tot_ev_per_atom": -6.28,
  "polymorph_energy_kj_per_mol_atoms": 28.0,
  "dos_ef_per_ev_atom": 0.380,
  "raw_formation_energy_ev_per_atom": -0.6875,
  "lattice": [[7.267, 0.000, 0.000], [0.000, 7.267, 0.000], [0.000, 0.000, 3.654]],
  "species": ["Y", "Y", "Y", "Y", "Ni", "Ni", "Ni", "Ni", "Se", "Se"],
  "frac_coords": [[0.179, 0.321, 0.000], [0.321, 0.821, 0.000], [0.679, 0.179, 0.000], [0.821, 0.679, 0.000], [0.116, 0.616, 0.500], [0.384, 0.116, 0.500], [0.616, 0.884, 0.500], [0.884, 0.384, 0.500], [0.000, 0.000, 0.500], [0.500, 0.500, 0.500]]
}



{
  "formula": "Y2NiSe",
  "functional": "PBE",
  "state": "relaxed",
  "magmom_total_mub_per_fu": 0.004,
  "density_g_cm3": 6.08,
  "e_tot_ev_per_atom": -6.49,
  "dos_ef_per_ev_atom": 1.101,
  "raw_formation_energy_ev_per_atom": -0.9444,
  "lattice": [[4.096, 0.000, 0.000], [0.000, 1.954, 5.377], [0.000, -1.954, 5.377]],
  "species": ["Y", "Y", "Ni", "Se"],
  "frac_coords": [[0.000, 0.000, 0.000], [0.500, 0.285, 0.285], [0.500, 0.551, 0.551], [0.000, 0.719, 0.719]]
}



{
  "formula": "Y2NiSe",
  "functional": "PBE",
  "state": "relaxed",
  "magmom_total_mub_per_fu": 0.000,
  "density_g_cm3": 5.25,
  "e_tot_ev_per_atom": -6.24,
  "dos_ef_per_ev_atom": 0.573,
  "raw_formation_energy_ev_per_atom": -0.6874,
  "lattice": [[-3.622, 3.622, 3.801], [3.622, -3.622, 3.801], [3.622, 3.622, -3.801]],
  "species": ["Y", "Y", "Y", "Y", "Ni", "Ni", "Se", "Se"],
  "frac_coords": [[0.102, 0.625, 0.977], [0.375, 0.352, 0.477], [0.648, 0.125, 0.023], [0.875, 0.898, 0.523], [0.000, 0.000, 0.000], [0.750, 0.250, 0.500], [0.250, 0.750, 0.500], [0.500, 0.500, 0.000]]
}